[1]
Computed, not measured: Dy2Ho3ScAs6 after structural relaxation at the PBE level of DFT.

It has space group C2/m (No. 12), with a = 17.748 Å, b = 4.074 Å, c = 8.143 Å, α = 90.00°, β = 103.26° and γ = 90.00°. The distinct sites, in fractional coordinates, are Dy at (0.165, 0.000, 0.332), Ho at (0.000, 0.500, 0.500), Ho at (0.167, 0.000, 0.834), Sc at (0.000, 0.500, 0.000), As at (0.001, 0.000, 0.760), As at (0.163, 0.500, 0.080) and As at (0.166, 0.500, 0.584).

The value obtained for the density of states at the Fermi level is 0.1521 states/eV per atom. The total energy is -0.230 hartree per atom. Its energy of formation from the pure elements is -1494 meV per atom. As for the mass density: 7.62 Mg/m³.

[2]
Computed, not measured: DyHoSc2As4 after structural relaxation at the PBE level of DFT.

It has space group P2/m (No. 10), with a = 6.910 Å, b = 4.002 Å, c = 6.927 Å, α = 90.00°, β = 109.52° and γ = 90.00°. The distinct sites, in fractional coordinates, are Dy at (0.000, 0.000, 0.000), Ho at (0.000, 0.500, 0.500), Sc at (0.500, 0.000, 0.500), Sc at (0.500, 0.500, 0.000), As at (0.264, 0.000, 0.754) and As at (0.265, 0.500, 0.255).

The value obtained for the density of states at the Fermi level is 0.1260 states/eV per atom. The total energy is -0.239 hartree per atom. Its energy of formation from the pure elements is -1444 meV per atom. As for the mass density: 6.60 Mg/m³.

[3]
Computed, not measured: Dy3HoSc2As6 after structural relaxation at the PBE level of DFT.

It has space group C2/m (No. 12), with a = 7.000 Å, b = 12.123 Å, c = 6.990 Å, α = 90.00°, β = 109.50° and γ = 90.00°. The distinct sites, in fractional coordinates, are Dy at (0.000, 0.000, 0.000), Dy at (0.000, 0.335, 0.000), Ho at (0.000, 0.500, 0.500), Sc at (0.000, 0.167, 0.500), As at (0.239, 0.000, 0.739) and As at (0.250, 0.170, 0.260).

The value obtained for the density of states at the Fermi level is 0.1730 states/eV per atom. The total energy is -0.234 hartree per atom. Its energy of formation from the pure elements is -1467 meV per atom. As for the mass density: 7.08 Mg/m³.

[4]
Computed, not measured: Dy2HoScAs4 after structural relaxation at the PBE level of DFT.

It has space group P2/m (No. 10), with a = 7.025 Å, b = 4.062 Å, c = 7.027 Å, α = 90.00°, β = 109.48° and γ = 90.00°. The distinct sites, in fractional coordinates, are Dy at (0.000, 0.000, 0.000), Dy at (0.000, 0.500, 0.500), Ho at (0.500, 0.000, 0.500), Sc at (0.500, 0.500, 0.000), As at (0.256, 0.500, 0.246) and As at (0.260, 0.000, 0.759).

The value obtained for the density of states at the Fermi level is 0.1227 states/eV per atom. The total energy is -0.232 hartree per atom. Its energy of formation from the pure elements is -1480 meV per atom. As for the mass density: 7.33 Mg/m³.

[5]
Computed, not measured: DyHo2ScAs4 after structural relaxation at the PBE level of DFT.

It has space group P2/m (No. 10), with a = 7.018 Å, b = 4.057 Å, c = 7.020 Å, α = 90.00°, β = 109.48° and γ = 90.00°. The distinct sites, in fractional coordinates, are Dy at (0.000, 0.000, 0.000), Ho at (0.000, 0.500, 0.500), Ho at (0.500, 0.000, 0.500), Sc at (0.500, 0.500, 0.000), As at (0.255, 0.500, 0.246) and As at (0.259, 0.000, 0.758).

The value obtained for the density of states at the Fermi level is 0.1218 states/eV per atom. The total energy is -0.232 hartree per atom. Its energy of formation from the pure elements is -1477 meV per atom. As for the mass density: 7.38 Mg/m³.

[6]
Computed, not measured: DyHo2Sc3As6 after structural relaxation at the PBE level of DFT.

It has space group C2/m (No. 12), with a = 6.926 Å, b = 11.996 Å, c = 6.905 Å, α = 90.00°, β = 109.51° and γ = 90.00°. The distinct sites, in fractional coordinates, are Dy at (0.000, 0.000, 0.000), Ho at (0.000, 0.333, 0.000), Sc at (0.000, 0.166, 0.500), Sc at (0.000, 0.500, 0.500), As at (0.245, 0.333, 0.736) and As at (0.246, 0.000, 0.736).

The value obtained for the density of states at the Fermi level is 0.1694 states/eV per atom. The total energy is -0.239 hartree per atom. Its energy of formation from the pure elements is -1443 meV per atom. As for the mass density: 6.61 Mg/m³.